Record 1
First-principles (PBE-GGA) data for crystalline Cs3In11 at its relaxed geometry, as listed in the Alexandria database.

Lattice parameters (Å, degrees): 5.1626 13.2096 14.4538 90.00 90.00 90.00
Space group Immm (No. 71)
One atom of each set of equivalent atoms:
Cs  0.0000  0.0000  0.0000
Cs  0.0000  0.0000  0.2786
In  0.0000  0.1570  0.5000
In  0.0000  0.2934  0.1251
In  0.0000  0.3266  0.3377
In  0.0000  0.5000  0.0000

The calculation puts the formation energy at -0.81 eV per formula unit. As for the density of states at the Fermi level: 4.98 states/eV/f.u.

=====

Record 2
First-principles (PBE-GGA) data for crystalline CsIn at its relaxed geometry, as listed in the Alexandria database.

Lattice parameters (Å, degrees): 9.7780 12.3817 14.8207 90.00 90.00 90.00
Space group Fddd (No. 70, origin choice 2)
One atom of each set of equivalent atoms:
Cs  0.1250  0.3148  0.1250
In  0.0232  0.3750  0.8750

The value obtained for the energy above the lowest structure with this stoichiometry is 0.218 eV per atom. The calculation puts the formation energy at 0.24 eV per formula unit. As for the density of states at the Fermi level: 2.52 states/eV/f.u.

=====

Record 3
First-principles (PBE-GGA) data for crystalline CsIn2 at its relaxed geometry, as listed in the Alexandria database.

Lattice parameters (Å, degrees): 9.5492 9.5492 9.5492 90.00 90.00 90.00
Space group Fd-3m (No. 227, origin choice 2)
One atom of each set of equivalent atoms:
Cs  0.1250  0.1250  0.1250
In  0.0000  0.0000  0.5000

The calculation puts the formation energy at -0.15 eV per formula unit. As for the density of states at the Fermi level: 3.37 states/eV/f.u.

=====

Record 4
First-principles (PBE-GGA) data for crystalline CsIn at its relaxed geometry, as listed in the Alexandria database.

Lattice parameters (Å, degrees): 5.1881 5.1881 31.4757 90.00 90.00 120.00
Space group R-3m (No. 166, hexagonal axes)
One atom of each set of equivalent atoms:
Cs  0.0000  0.0000  0.0870
In  0.0000  0.0000  0.3333

The value obtained for the energy above the lowest structure with this stoichiometry is 0.001 eV per atom. The calculation puts the formation energy at -0.19 eV per formula unit. As for the density of states at the Fermi level: 1.32 states/eV/f.u.

=====

Record 5
First-principles (PBE-GGA) data for crystalline CsIn at its relaxed geometry, as listed in the Alexandria database.

Lattice parameters (Å, degrees): 10.8267 10.8267 10.8267 90.00 90.00 90.00
Space group Pm-3n (No. 223)
One atom of each set of equivalent atoms:
Cs  0.0000  0.2500  0.5000
In  0.0000  0.5000  0.2500

The value obtained for the energy above the lowest structure with this stoichiometry is 0.739 eV per atom. The calculation puts the formation energy at 1.28 eV per formula unit. As for the density of states at the Fermi level: 2.13 states/eV/f.u.

=====

Record 6
First-principles (PBE-GGA) data for crystalline CsIn at its relaxed geometry, as listed in the Alexandria database.

Lattice parameters (Å, degrees): 16.3418 5.2450 7.3863 90.00 90.00 90.00
Space group Pmn2_1 (No. 31)
One atom of each set of equivalent atoms:
Cs  0.0000  0.2475  0.0000
Cs  0.2269  0.7473  0.0723
In  0.0000  0.2559  0.5012
In  0.0945  0.7552  0.5561

The value obtained for the energy above the lowest structure with this stoichiometry is 0.045 eV per atom. The calculation puts the formation energy at -0.10 eV per formula unit. As for the density of states at the Fermi level: 1.01 states/eV/f.u.

=====

Record 7
First-principles (PBE-GGA) data for crystalline CsIn5 at its relaxed geometry, as listed in the Alexandria database.

Lattice parameters (Å, degrees): 5.2095 14.3385 5.2894 90.00 90.00 90.00
Space group Cmmm (No. 65)
One atom of each set of equivalent atoms:
Cs  0.0000  0.0000  0.0000
In  0.0000  0.1830  0.5000
In  0.0000  0.3156  0.0000
In  0.0000  0.5000  0.5000

The value obtained for the energy above the lowest structure with this stoichiometry is 0.076 eV per atom. The calculation puts the formation energy at 0.41 eV per formula unit. As for the density of states at the Fermi level: 2.95 states/eV/f.u.

=====

Record 8
First-principles (PBE-GGA) data for crystalline CsIn at its relaxed geometry, as listed in the Alexandria database.

Lattice parameters (Å, degrees): 6.3648 5.1765 7.3242 90.00 115.70 90.00
Space group P2_1/m (No. 11)
One atom of each set of equivalent atoms:
Cs  0.1508  0.2500  0.3018
In  0.4567  0.2500  0.9120

The value obtained for the energy above the lowest structure with this stoichiometry is 0.021 eV per atom. The calculation puts the formation energy at -0.15 eV per formula unit. As for the density of states at the Fermi level: 0.79 states/eV/f.u.

=====

Record 9
First-principles (PBE-GGA) data for crystalline CsIn at its relaxed geometry, as listed in the Alexandria database.

Lattice parameters (Å, degrees): 6.6974 6.6974 7.9491 90.00 90.00 120.00
Space group P6_3/mmc (No. 194)
One atom of each set of equivalent atoms:
Cs  0.3333  0.6667  0.2500
In  0.3333  0.6667  0.7500

The value obtained for the energy above the lowest structure with this stoichiometry is 0.609 eV per atom. The calculation puts the formation energy at 1.03 eV per formula unit. As for the density of states at the Fermi level: 2.25 states/eV/f.u.

=====

Record 10
First-principles (PBE-GGA) data for crystalline CsIn at its relaxed geometry, as listed in the Alexandria database.

Lattice parameters (Å, degrees): 10.7276 10.7276 6.2471 90.00 90.00 120.00
Space group P6_3/mmc (No. 194)
One atom of each set of equivalent atoms:
Cs  0.1783  0.3566  0.2500
In  0.1401  0.5701  0.7500

The value obtained for the energy above the lowest structure with this stoichiometry is 0.096 eV per atom. The calculation puts the formation energy at 0.00 eV per formula unit. As for the density of states at the Fermi level: 1.80 states/eV/f.u.

=====

Record 11
First-principles (PBE-GGA) data for crystalline CsIn5 at its relaxed geometry, as listed in the Alexandria database.

Lattice parameters (Å, degrees): 4.3829 9.2184 10.0548 90.00 90.00 90.00
Space group Immm (No. 71)
One atom of each set of equivalent atoms:
Cs  0.0000  0.0000  0.0000
In  0.0000  0.1771  0.3438
In  0.0000  0.5000  0.0000

The value obtained for the energy above the lowest structure with this stoichiometry is 0.000 eV per atom. The calculation puts the formation energy at -0.05 eV per formula unit. As for the density of states at the Fermi level: 3.53 states/eV/f.u.

=====

Record 12
First-principles (PBE-GGA) data for crystalline CsIn2 at its relaxed geometry, as listed in the Alexandria database.

Lattice parameters (Å, degrees): 5.1373 5.1373 9.3087 90.00 90.00 90.00
Space group P4/nmm (No. 129, origin choice 2)
One atom of each set of equivalent atoms:
Cs  0.2500  0.2500  0.1605
In  0.2500  0.2500  0.6856
In  0.2500  0.7500  0.5000

The calculation puts the formation energy at -0.34 eV per formula unit. As for the density of states at the Fermi level: 1.93 states/eV/f.u.

=====

Per-record spin magnetization, μB/f.u.: 0.00, 0.00, 0.00, 0.00, 0.00, 0.00, 0.00, 0.00, 0.00, 0.00, 0.00, 0.00